PmNd2Co | PBE-GGA | relaxed

The structure in POSCAR format:
```
PmNd2Co
1.0
3.705 0.000 0.000
1.853 3.209 0.000
1.853 1.070 10.513
Nd Pm Co
2 1 1
Direct
0.887 0.887 0.340
0.113 0.113 0.660
0.000 0.000 0.000
0.500 0.500 0.500
```

Results
Symmetry: R-3m (166)
Calculated volume in Å³ per atom: 31.2
DOS at the Fermi energy in states/eV/f.u.: 6.3
DFT total energy in eV for the cell shown: -20.55
Distance to the lowest polymorph of the same formula in meV per atom: 278
Formation enthalpy at 0 K in eV per atom: 0.210

---

MnNb2Pt | PBE-GGA | relaxed

The structure in POSCAR format:
```
MnNb2Pt
1.0
2.920 0.000 0.000
0.000 2.920 0.000
0.000 0.000 7.352
Nb Pt Mn
2 1 1
Direct
0.000 0.000 0.220
0.000 0.000 0.780
0.500 0.500 0.500
0.500 0.500 0.000
```

Results
Symmetry: P4/mmm (123)
Calculated volume in Å³ per atom: 15.7
DOS at the Fermi energy in states/eV/f.u.: 3.1
DFT total energy in eV for the cell shown: -36.51
Formation enthalpy at 0 K in eV per atom: -0.290

---

Tl2In2BiPb | PBE-GGA | relaxed

The structure in POSCAR format:
```
Tl2In2BiPb
1.0
-4.497 2.179 0.686
-2.662 -6.113 1.963
2.520 2.083 9.905
Tl In Pb Bi
4 4 2 2
Direct
0.500 0.132 0.995
0.000 0.876 0.835
0.500 0.632 0.005
0.000 0.376 0.165
0.500 0.632 0.669
0.500 0.132 0.331
0.000 0.882 0.174
0.000 0.382 0.826
0.000 0.386 0.501
0.000 0.886 0.499
0.500 0.638 0.339
0.500 0.138 0.661
```

Results
Symmetry: Pmc2_1 (26)
Calculated volume in Å³ per atom: 30.5
DOS at the Fermi energy in states/eV/f.u.: 3.0
DFT total energy in eV for the cell shown: -35.54
Formation enthalpy at 0 K in eV per atom: 0.005

---

Question: The highest calculated volume belongs to which entry?
Answer: PmNd2Co